The following is a PBE-GGA calculation of PmPr4SmHo2 after structural relaxation, from Alexandria.

Cell: 6.320 3.664 12.025 Å, 90.00 100.20 90.00°
Space group P2/m (No. 10)
Asymmetric unit:
Pm1 0.000 0.000 0.000 (multiplicity 1)
Pr1 0.251 0.500 0.252 (multiplicity 2)
Pr2 0.252 0.000 0.751 (multiplicity 2)
Sm1 0.000 0.500 0.500 (multiplicity 1)
Ho1 0.500 0.000 0.500 (multiplicity 1)
Ho2 0.500 0.500 0.000 (multiplicity 1)

Values from the calculation:
VASP energy in eV per atom: -4.7033
Mass density in g cm⁻³: 7.20

The following is a PBE-GGA calculation of PmPrSm2Ho4 after structural relaxation, from Alexandria.

Cell: 6.834 11.865 13.292 Å, 90.00 90.00 90.00°
Space group Imma (No. 74)
Asymmetric unit:
Pm1 0.250 0.250 0.250 (multiplicity 4)
Pr1 0.000 0.000 0.000 (multiplicity 4)
Sm1 0.000 0.000 0.500 (multiplicity 4)
Sm2 0.250 0.250 0.750 (multiplicity 4)
Ho1 0.000 0.000 0.251 (multiplicity 8)
Ho2 0.249 0.250 0.500 (multiplicity 8)

Values from the calculation:
VASP energy in eV per atom: -4.2462
Mass density in g cm⁻³: 7.68

The following is a PBE-GGA calculation of Pm2Pr2SmHo after structural relaxation, from Alexandria.

Cell: 7.101 5.768 9.991 Å, 90.00 90.00 90.00°
Space group Pmma (No. 51)
Asymmetric unit:
Pm1 0.250 0.000 0.164 (multiplicity 2)
Pm2 0.250 0.500 0.668 (multiplicity 2)
Pr1 0.000 0.500 0.000 (multiplicity 2)
Pr2 0.250 0.000 0.827 (multiplicity 2)
Sm1 0.000 0.000 0.500 (multiplicity 2)
Ho1 0.250 0.500 0.338 (multiplicity 2)

Values from the calculation:
VASP energy in eV per atom: -4.6690
Mass density in g cm⁻³: 7.20

The following is a PBE-GGA calculation of PmPr2Sm6Ho3 after structural relaxation, from Alexandria.

Cell: 6.272 10.864 11.988 Å, 90.00 100.05 90.00°
Space group C2/m (No. 12)
Asymmetric unit:
Pm1 0.000 0.000 0.000 (multiplicity 2)
Pr1 0.000 0.333 0.000 (multiplicity 4)
Sm1 0.248 0.000 0.745 (multiplicity 4)
Sm2 0.249 0.334 0.745 (multiplicity 8)
Ho1 0.000 0.167 0.500 (multiplicity 4)
Ho2 0.000 0.500 0.500 (multiplicity 2)

Values from the calculation:
VASP energy in eV per atom: -4.6791
Mass density in g cm⁻³: 7.53

The following is a PBE-GGA calculation of PmPr5SmHo2 after structural relaxation, from Alexandria.

Cell: 5.735 20.624 10.756 Å, 90.00 90.00 90.00°
Space group Cmc2_1 (No. 36)
Asymmetric unit:
Pm1 0.000 0.200 0.000 (multiplicity 4)
Pr1 0.000 0.016 0.011 (multiplicity 4)
Pr2 0.000 0.281 0.301 (multiplicity 4)
Pr3 0.000 0.296 0.694 (multiplicity 4)
Pr4 0.000 0.390 0.016 (multiplicity 4)
Pr5 0.000 0.479 0.732 (multiplicity 4)
Sm1 0.000 0.411 0.444 (multiplicity 4)
Ho1 0.000 0.112 0.726 (multiplicity 4)
Ho2 0.000 0.117 0.309 (multiplicity 4)

Values from the calculation:
VASP energy in eV per atom: -4.5818
Mass density in g cm⁻³: 6.94

The following is a PBE-GGA calculation of PmPr2Sm4Ho after structural relaxation, from Alexandria.

Cell: 5.143 5.148 10.297 Å, 90.00 90.10 90.00°
Space group P2/m (No. 10)
Asymmetric unit:
Pm1 0.000 0.000 0.000 (multiplicity 1)
Pr1 0.000 0.000 0.500 (multiplicity 1)
Pr2 0.500 0.500 0.000 (multiplicity 1)
Sm1 0.000 0.500 0.252 (multiplicity 2)
Sm2 0.500 0.000 0.252 (multiplicity 2)
Ho1 0.500 0.500 0.500 (multiplicity 1)

Values from the calculation:
VASP energy in eV per atom: -4.7058
Mass density in g cm⁻³: 7.27

The following is a PBE-GGA calculation of PmPr3Sm6Ho2 after structural relaxation, from Alexandria.

Cell: 6.299 10.908 12.058 Å, 90.00 100.04 90.00°
Space group C2/m (No. 12)
Asymmetric unit:
Pm1 0.000 0.000 0.000 (multiplicity 2)
Pr1 0.000 0.167 0.500 (multiplicity 4)
Pr2 0.000 0.500 0.500 (multiplicity 2)
Sm1 0.248 0.500 0.246 (multiplicity 4)
Sm2 0.249 0.167 0.246 (multiplicity 8)
Ho1 0.000 0.333 0.000 (multiplicity 4)

Values from the calculation:
VASP energy in eV per atom: -4.6966
Mass density in g cm⁻³: 7.33

The following is a PBE-GGA calculation of Pm2Pr6SmHo after structural relaxation, from Alexandria.

Cell: 9.324 15.486 9.904 Å, 90.00 98.42 90.00°
Space group C2/c (No. 15)
Asymmetric unit:
Pm1 0.246 0.049 0.044 (multiplicity 8)
Pr1 0.064 0.182 0.446 (multiplicity 8)
Pr2 0.100 0.395 0.619 (multiplicity 8)
Pr3 0.209 0.221 0.811 (multiplicity 8)
Sm1 0.000 0.021 0.750 (multiplicity 4)
Ho1 0.000 0.409 0.250 (multiplicity 4)

Values from the calculation:
VASP energy in eV per atom: -4.6360
Mass density in g cm⁻³: 6.81

The following is a PBE-GGA calculation of PmPr3SmHo after structural relaxation, from Alexandria.

Cell: 6.057 11.270 12.120 Å, 90.00 90.00 90.00°
Space group Cmcm (No. 63)
Asymmetric unit:
Pm1 0.000 0.019 0.250 (multiplicity 4)
Pr1 0.000 0.167 0.516 (multiplicity 8)
Pr2 0.000 0.354 0.750 (multiplicity 4)
Sm1 0.000 0.500 0.000 (multiplicity 4)
Ho1 0.000 0.332 0.250 (multiplicity 4)

Values from the calculation:
VASP energy in eV per atom: -4.6175
Mass density in g cm⁻³: 7.09

The following is a PBE-GGA calculation of Pm4PrSm2Ho2 after structural relaxation, from Alexandria.

Cell: 3.623 8.896 9.579 Å, 90.00 79.14 89.88°
Space group P-1 (No. 2)
Asymmetric unit:
Pm1 0.056 0.166 0.388 (multiplicity 2)
Pm2 0.278 0.832 0.944 (multiplicity 2)
Pr1 0.500 0.500 0.500 (multiplicity 1)
Sm1 0.388 0.170 0.724 (multiplicity 2)
Ho1 0.168 0.500 0.163 (multiplicity 2)

Values from the calculation:
VASP energy in eV per atom: -4.6919
Mass density in g cm⁻³: 7.40

The following is a PBE-GGA calculation of Pm4Pr2SmHo after structural relaxation, from Alexandria.

Cell: 13.825 13.433 6.940 Å, 90.00 119.84 90.00°
Space group C2/c (No. 15)
Asymmetric unit:
Pm1 0.004 0.244 0.004 (multiplicity 8)
Pm2 0.246 0.001 0.464 (multiplicity 8)
Pr1 0.000 0.500 0.000 (multiplicity 4)
Pr2 0.250 0.250 0.000 (multiplicity 4)
Sm1 0.250 0.250 0.500 (multiplicity 4)
Ho1 0.000 0.000 0.000 (multiplicity 4)

Values from the calculation:
VASP energy in eV per atom: -4.3537
Mass density in g cm⁻³: 6.99

The following is a PBE-GGA calculation of PmPr2SmHo5 after structural relaxation, from Alexandria.

Cell: 8.696 8.696 15.698 Å, 90.00 90.00 90.00°
Space group I4/mcm (No. 140)
Asymmetric unit:
Pm1 0.000 0.000 0.250 (multiplicity 4)
Pr1 0.118 0.382 0.000 (multiplicity 8)
Sm1 0.000 0.500 0.250 (multiplicity 4)
Ho1 0.000 0.000 0.000 (multiplicity 4)
Ho2 0.210 0.290 0.361 (multiplicity 16)

Values from the calculation:
VASP energy in eV per atom: -4.4027
Mass density in g cm⁻³: 7.84

The following is a PBE-GGA calculation of Pm2Pr6SmHo3 after structural relaxation, from Alexandria.

Cell: 6.340 10.986 11.996 Å, 90.00 100.12 90.00°
Space group C2/m (No. 12)
Asymmetric unit:
Pm1 0.000 0.167 0.000 (multiplicity 4)
Pr1 0.249 0.167 0.747 (multiplicity 8)
Pr2 0.249 0.500 0.747 (multiplicity 4)
Sm1 0.000 0.500 0.000 (multiplicity 2)
Ho1 0.000 0.000 0.500 (multiplicity 2)
Ho2 0.000 0.333 0.500 (multiplicity 4)

Values from the calculation:
VASP energy in eV per atom: -4.7062
Mass density in g cm⁻³: 7.19

The following is a PBE-GGA calculation of PmPrSm4Ho2 after structural relaxation, from Alexandria.

Cell: 6.245 3.618 12.019 Å, 90.00 100.05 90.00°
Space group P2/m (No. 10)
Asymmetric unit:
Pm1 0.000 0.000 0.000 (multiplicity 1)
Pr1 0.000 0.500 0.500 (multiplicity 1)
Sm1 0.251 0.000 0.752 (multiplicity 2)
Sm2 0.251 0.500 0.250 (multiplicity 2)
Ho1 0.500 0.000 0.500 (multiplicity 1)
Ho2 0.500 0.500 0.000 (multiplicity 1)

Values from the calculation:
VASP energy in eV per atom: -4.6779
Mass density in g cm⁻³: 7.56

The following is a PBE-GGA calculation of Pm2PrSm6Ho after structural relaxation, from Alexandria.

Cell: 9.215 15.309 9.796 Å, 90.00 97.97 90.00°
Space group C2/c (No. 15)
Asymmetric unit:
Pm1 0.249 0.051 0.044 (multiplicity 8)
Pr1 0.000 0.021 0.750 (multiplicity 4)
Sm1 0.065 0.187 0.444 (multiplicity 8)
Sm2 0.100 0.394 0.619 (multiplicity 8)
Sm3 0.207 0.223 0.813 (multiplicity 8)
Ho1 0.000 0.409 0.250 (multiplicity 4)

Values from the calculation:
VASP energy in eV per atom: -4.6029
Mass density in g cm⁻³: 7.27

The following is a PBE-GGA calculation of Pm2PrSmHo2 after structural relaxation, from Alexandria.

Cell: 6.726 17.822 3.410 Å, 90.00 90.00 90.00°
Space group Pnnm (No. 58)
Asymmetric unit:
Pm1 0.229 0.153 0.000 (multiplicity 4)
Pr1 0.000 0.500 0.500 (multiplicity 2)
Sm1 0.000 0.000 0.500 (multiplicity 2)
Ho1 0.234 0.322 0.500 (multiplicity 4)

Values from the calculation:
VASP energy in eV per atom: -4.4295
Mass density in g cm⁻³: 7.40

The following is a PBE-GGA calculation of PmPr3Sm2Ho6 after structural relaxation, from Alexandria.

Cell: 6.253 10.828 11.819 Å, 90.00 100.12 90.00°
Space group C2/m (No. 12)
Asymmetric unit:
Pm1 0.000 0.000 0.000 (multiplicity 2)
Pr1 0.000 0.167 0.500 (multiplicity 4)
Pr2 0.000 0.500 0.500 (multiplicity 2)
Sm1 0.000 0.333 0.000 (multiplicity 4)
Ho1 0.249 0.167 0.248 (multiplicity 8)
Ho2 0.249 0.500 0.248 (multiplicity 4)

Values from the calculation:
VASP energy in eV per atom: -4.6523
Mass density in g cm⁻³: 7.83

The following is a PBE-GGA calculation of Pm4PrSmHo2 after structural relaxation, from Alexandria.

Cell: 6.262 3.631 12.026 Å, 90.00 100.10 90.00°
Space group P2/m (No. 10)
Asymmetric unit:
Pm1 0.248 0.000 0.247 (multiplicity 2)
Pm2 0.249 0.500 0.750 (multiplicity 2)
Pr1 0.500 0.500 0.500 (multiplicity 1)
Sm1 0.500 0.000 0.000 (multiplicity 1)
Ho1 0.000 0.000 0.500 (multiplicity 1)
Ho2 0.000 0.500 0.000 (multiplicity 1)

Values from the calculation:
VASP energy in eV per atom: -4.6904
Mass density in g cm⁻³: 7.41

The following is a PBE-GGA calculation of Pm5PrSm2Ho after structural relaxation, from Alexandria.

Cell: 8.934 8.934 15.571 Å, 90.00 90.00 90.00°
Space group I4/mcm (No. 140)
Asymmetric unit:
Pm1 0.000 0.000 0.000 (multiplicity 4)
Pm2 0.208 0.292 0.137 (multiplicity 16)
Pr1 0.000 0.000 0.250 (multiplicity 4)
Sm1 0.116 0.384 0.500 (multiplicity 8)
Ho1 0.000 0.500 0.250 (multiplicity 4)

Values from the calculation:
VASP energy in eV per atom: -4.4504
Mass density in g cm⁻³: 7.12

no.,Fermi-level density of states (states/eV per atom)
1,1.387
2,2.261
3,1.415
4,1.378
5,1.554
6,1.422
7,1.444
8,1.494
9,1.825
10,1.427
11,2.434
12,1.101
13,1.226
14,1.424
15,1.442
16,1.679
17,1.100
18,1.439
19,1.463